# 1
## Sr2Al2Ge2P (PBE)

Data for an optimized crystal structure of Sr2Al2Ge2P.

Geometry as POSCAR:
```
Sr2Al2Ge2P
1.0
4.4345 0.0000 0.0000
2.2081 6.0577 0.0000
2.1988 1.2443 6.2755
Sr Al Ge P
2 2 2 1
Direct
0.0660 0.1851 0.1832
0.9340 0.8149 0.8168
0.2834 0.5816 0.3498
0.7166 0.4184 0.6502
0.3425 0.1915 0.6229
0.6575 0.8085 0.3771
0.5000 0.5000 0.0000
```

Summary:
V   24.1 Å³ per atom
VASP energy   -4.190 eV/atom
Energy relative to the elements   -548 meV per atom



# 2
## TlCo2Cu (PBE)

Data for an optimized crystal structure of TlCo2Cu.

Geometry as POSCAR:
```
TlCo2Cu
1.0
4.2195 -1.5034 0.0000
4.2195 1.5034 0.0000
-1.0783 0.0000 4.6222
Tl Co Cu
1 2 1
Direct
0.0000 0.0000 0.0000
0.2370 0.2370 0.6821
0.5103 0.5103 0.5175
0.7636 0.7636 0.2786
```

Summary:
V   14.7 Å³ per atom
VASP energy   -4.710 eV/atom
Energy relative to the elements   458 meV per atom
Energy above the most stable polymorph in this dataset   87 meV/atom



# 3
## NaHfBi2I (PBE)

Data for an optimized crystal structure of NaHfBi2I.

Geometry as POSCAR:
```
NaHfBi2I
1.0
5.4818 0.0000 0.0000
0.0000 5.4818 0.0000
0.0000 0.0000 10.6519
Na Hf Bi I
1 1 2 1
Direct
0.0000 0.0000 0.0000
0.0000 0.0000 0.5000
0.0000 0.5000 0.5000
0.5000 0.0000 0.5000
0.5000 0.5000 0.0000
```

Summary:
V   64.0 Å³ per atom
VASP energy   -3.876 eV/atom
E_form (uncorrected)   0.241 eV per atom



# 4
## La2Co2Cu (PBE)

Data for an optimized crystal structure of La2Co2Cu.

Geometry as POSCAR:
```
La2Co2Cu
1.0
7.1084 0.0000 0.0000
0.0000 7.1084 0.0000
0.0000 0.0000 3.9699
La Co Cu
4 4 2
Direct
0.1860 0.3140 0.0000
0.3140 0.8140 0.0000
0.6860 0.1860 0.0000
0.8140 0.6860 0.0000
0.1153 0.6153 0.5000
0.3847 0.1153 0.5000
0.6153 0.8847 0.5000
0.8847 0.3847 0.5000
0.0000 0.0000 0.5000
0.5000 0.5000 0.5000
```

Summary:
V   20.1 Å³ per atom
VASP energy   -5.644 eV/atom
Energy relative to the elements   -12 meV per atom
Energy above the most stable polymorph in this dataset   82 meV/atom



# 5
## ThNi6B3 (PBE)

Data for an optimized crystal structure of ThNi6B3.

Geometry as POSCAR:
```
ThNi6B3
1.0
2.5084 1.4482 5.2151
-2.5084 1.4482 5.2151
0.0000 -2.8965 5.2151
Th Ni B
1 6 3
Direct
0.0000 0.0000 0.0000
0.0739 0.5814 0.5687
0.3278 0.4346 0.8789
0.4346 0.8789 0.3278
0.5687 0.0739 0.5814
0.5814 0.5687 0.0739
0.8789 0.3278 0.4346
0.3054 0.3054 0.3054
0.6400 0.6400 0.6400
0.8338 0.8338 0.8338
```

Summary:
V   11.4 Å³ per atom
VASP energy   -6.477 eV/atom
Energy relative to the elements   -263 meV per atom



# 6
## Mg4TlNi (PBE)

Data for an optimized crystal structure of Mg4TlNi.

Geometry as POSCAR:
```
Mg4TlNi
1.0
0.0000 3.9893 3.9893
3.9893 0.0000 3.9893
3.9893 3.9893 0.0000
Mg Tl Ni
4 1 1
Direct
0.1243 0.1243 0.1243
0.1243 0.1243 0.6271
0.1243 0.6271 0.1243
0.6271 0.1243 0.1243
0.5000 0.5000 0.5000
0.7500 0.7500 0.7500
```

Summary:
V   21.2 Å³ per atom
VASP energy   -2.139 eV/atom
Energy relative to the elements   282 meV per atom
Energy above the most stable polymorph in this dataset   393 meV/atom



# 7
## ThZn2CrN4 (PBE)

Data for an optimized crystal structure of ThZn2CrN4.

Geometry as POSCAR:
```
ThZn2CrN4
1.0
-2.6702 2.6702 3.5768
2.6702 -2.6702 3.5768
2.6702 2.6702 -3.5768
Th Zn Cr N
1 2 1 4
Direct
0.0000 0.0000 0.0000
0.2500 0.7500 0.5000
0.7500 0.2500 0.5000
0.5000 0.5000 0.0000
0.1530 0.5699 0.0000
0.4301 0.4301 0.5831
0.5699 0.1530 0.0000
0.8470 0.8470 0.4169
```

Summary:
V   12.8 Å³ per atom
VASP energy   -7.111 eV/atom
E_form (uncorrected)   -0.499 eV per atom



# 8
## SiBiIrAu (PBE)

Data for an optimized crystal structure of SiBiIrAu.

Geometry as POSCAR:
```
SiBiIrAu
1.0
1.9841 1.1455 5.9663
-1.9841 1.1455 5.9663
0.0000 -2.2911 5.9663
Si Bi Ir Au
1 1 1 1
Direct
0.0000 0.0000 0.0000
0.4747 0.4747 0.4747
0.6961 0.6961 0.6961
0.2575 0.2575 0.2575
```

Summary:
V   20.3 Å³ per atom
VASP energy   -5.481 eV/atom
E_form (uncorrected)   -0.120 eV per atom
Energy above the most stable polymorph in this dataset   5 meV/atom



# 9
## Tb4DySc7 (PBE)

Data for an optimized crystal structure of Tb4DySc7.

Geometry as POSCAR:
```
Tb4DySc7
1.0
5.6802 -2.7711 0.0000
5.6802 2.7711 0.0000
-5.1349 0.0000 10.8660
Tb Dy Sc
4 1 7
Direct
0.0943 0.0943 0.2965
0.3683 0.3683 0.2256
0.6317 0.6317 0.7744
0.9057 0.9057 0.7035
0.5000 0.5000 0.0000
0.0000 0.0000 0.0000
0.1544 0.1544 0.6203
0.2072 0.2072 0.9158
0.3705 0.3705 0.5153
0.6295 0.6295 0.4847
0.7928 0.7928 0.0842
0.8456 0.8456 0.3797
```

Summary:
V   28.5 Å³ per atom
VASP energy   -5.347 eV/atom
Energy relative to the elements   273 meV per atom



# 10
## Mn4TcRu (PBE)

Data for an optimized crystal structure of Mn4TcRu.

Geometry as POSCAR:
```
Mn4TcRu
1.0
0.0000 3.2950 3.2950
3.2950 0.0000 3.2950
3.2950 3.2950 0.0000
Mn Tc Ru
4 1 1
Direct
0.3758 0.3758 0.3758
0.3758 0.3758 0.8725
0.3758 0.8725 0.3758
0.8725 0.3758 0.3758
0.0000 0.0000 0.0000
0.7500 0.7500 0.7500
```

Summary:
V   11.9 Å³ per atom
VASP energy   -9.385 eV/atom
Energy relative to the elements   2 meV per atom



# 11
## Ag2BiTePb (PBE)

Data for an optimized crystal structure of Ag2BiTePb.

Geometry as POSCAR:
```
Ag2BiTePb
1.0
5.2590 0.0000 0.0000
0.0000 5.2590 0.0000
0.0000 0.0000 6.1639
Ag Bi Te Pb
2 1 1 1
Direct
0.0000 0.5000 0.0000
0.5000 0.0000 0.0000
0.0000 0.0000 0.5000
0.5000 0.5000 0.5000
0.0000 0.0000 0.0000
```

Summary:
V   34.1 Å³ per atom
VASP energy   -2.670 eV/atom
E_form (uncorrected)   0.616 eV per atom



# 12
## Pr2Zn12Ag5 (PBE)

Data for an optimized crystal structure of Pr2Zn12Ag5.

Geometry as POSCAR:
```
Pr2Zn12Ag5
1.0
4.6384 2.6780 4.5357
-4.6384 2.6780 4.5357
0.0000 -5.3559 4.5357
Pr Zn Ag
2 12 5
Direct
0.1593 0.1593 0.1593
0.8407 0.8407 0.8407
0.1486 0.1486 0.6657
0.1486 0.6657 0.1486
0.2032 0.5000 0.7968
0.2032 0.7968 0.5000
0.3343 0.8514 0.8514
0.5000 0.2032 0.7968
0.5000 0.7968 0.2032
0.6657 0.1486 0.1486
0.7968 0.2032 0.5000
0.7968 0.5000 0.2032
0.8514 0.3343 0.8514
0.8514 0.8514 0.3343
0.0000 0.5000 0.5000
0.3977 0.3977 0.3977
0.5000 0.0000 0.5000
0.5000 0.5000 0.0000
0.6023 0.6023 0.6023
```

Summary:
V   17.8 Å³ per atom
VASP energy   -2.253 eV/atom
Energy relative to the elements   -195 meV per atom